A relaxed Y3TaB crystal, computed with PBE.

abc: 5.0141 5.0141 5.0141
angles: 90.00 90.00 90.00
Closest atoms and distances in Å follow each position.
Sites, in units of the cell vectors:
1 Y 0.5000 0.0000 0.0000  2 B 2.51
2 Y 0.0000 0.0000 0.5000  2 B 2.51
3 Y 0.0000 0.5000 0.0000  2 B 2.51
4 B 0.0000 0.0000 0.0000  6 Y 2.51
5 Ta 0.5000 0.5000 0.5000  12 Y 3.55

Output
The magnetic moment is 3.291 μB/f.u. The formation energy is 11.4 kcal/mol of atoms. As for the crystal system: cubic. The total energy comes out at -7.090 eV/atom.